(1)
{"formula": "LaTb2O", "functional": "PBE-GGA", "state": "relaxed", "cell": [[3.200, 0.000, 0.000], [0.000, 3.200, 0.000], [0.000, 0.000, 9.068]], "species": ["Tb", "Tb", "O", "La"], "fractional_positions": [[0.000, 0.000, 0.831], [0.000, 0.000, 0.169], [0.500, 0.500, 0.000], [0.500, 0.500, 0.500]], "crystal_system": "tetragonal", "formation_energy_uncorrected_mev_per_atom": -793, "dos_at_fermi_per_ev_cell": 4.8, "e_tot_ev_per_atom": -5.580, "sg": "P4/mmm (123)"}



(2)
{"formula": "LaTb2TcO8", "functional": "PBE-GGA", "state": "relaxed", "cell": [[-3.210, 2.588, -2.994], [2.100, -2.120, -4.126], [-4.561, -5.232, 0.368]], "species": ["La", "Tb", "Tb", "Tc", "O", "O", "O", "O", "O", "O", "O", "O"], "fractional_positions": [[0.000, 0.000, 0.500], [0.500, 0.500, 0.750], [0.500, 0.500, 0.250], [0.000, 0.000, 0.000], [0.184, 0.816, 0.199], [0.735, 0.736, 0.000], [0.816, 0.184, 0.199], [0.816, 0.184, 0.801], [0.265, 0.264, 0.000], [0.184, 0.816, 0.801], [0.684, 0.684, 0.500], [0.316, 0.316, 0.500]], "crystal_system": "orthorhombic", "formation_energy_uncorrected_mev_per_atom": -2623, "e_tot_ev_per_atom": -7.975, "sg": "Cmmm (65)"}